1.
## InCuHgIr (PBE)

Data for InCuHgIr after structural relaxation.

Distance to the lowest polymorph of the same formula = 0 meV/atom
Space group = F-43m (216)

a b c (Å): 4.6036 4.6036 4.6036
angles (deg): 60.00 60.00 60.00
Last column: nearest neighbours and their distance in Å.
Element x y z (fractional)
Cu 0.7500 0.7500 0.7500  4 Hg 2.82, 4 In 2.82
Ir 0.2500 0.2500 0.2500  4 Hg 2.82, 4 In 2.82
Hg 0.5000 0.5000 0.5000  4 Cu 2.82, 4 Ir 2.82
In 0.0000 0.0000 0.0000  4 Cu 2.82, 4 Ir 2.82

=====

2.
## Pr3In2Cu2HgPd (PBE)

Data for Pr3In2Cu2HgPd after structural relaxation.

Space group = Amm2 (38)
Calculated total energy = -4.105 eV/atom

a b c (Å): 4.0448 7.7046 7.7046
angles (deg): 119.25 90.00 90.00
Last column: nearest neighbours and their distance in Å.
Element x y z (fractional)
Hg 0.0000 0.7362 0.7362  2 Pd 2.95, 2 Cu 2.96, 2 Pr 3.21
In 0.0000 0.2579 0.0031  2 Pd 2.80, 2 Cu 2.88-2.89
Cu 0.0000 0.6654 0.3229  2 In 2.88-2.89, 1 Hg 2.96, 6 Pr 3.07-3.11
Pr 0.5000 0.5934 0.9944  4 Cu 3.07-3.11, 1 Pd 3.16, 2 In 3.31, 2 Hg 3.38
Cu 0.0000 0.3229 0.6654  2 In 2.88-2.89, 1 Hg 2.96, 6 Pr 3.07-3.11
Pr 0.5000 0.9944 0.5934  4 Cu 3.07-3.11, 1 Pd 3.16, 2 In 3.31, 2 Hg 3.38
In 0.0000 0.0031 0.2579  2 Pd 2.80, 2 Cu 2.88-2.89
Pr 0.5000 0.4156 0.4156  4 Cu 3.11, 1 Pd 3.15, 2 Hg 3.21, 4 In 3.45
Pd 0.5000 0.0112 0.0112  4 In 2.80, 2 Hg 2.95

=====

3.
## InCuHgPt (PBE)

Data for InCuHgPt after structural relaxation.

Distance to the lowest polymorph of the same formula = 0 meV/atom
Space group = F-43m (216)

a b c (Å): 4.6426 4.6426 4.6426
angles (deg): 60.00 60.00 60.00
Last column: nearest neighbours and their distance in Å.
Element x y z (fractional)
Hg 0.5000 0.5000 0.5000  4 Cu 2.84, 4 Pt 2.84
Cu 0.7500 0.7500 0.7500  4 Hg 2.84, 4 In 2.84
Pt 0.2500 0.2500 0.2500  4 Hg 2.84, 4 In 2.84
In 0.0000 0.0000 0.0000  4 Cu 2.84, 4 Pt 2.84

=====

4.
## InCuReHg (PBE)

Data for InCuReHg after structural relaxation.

Distance to the lowest polymorph of the same formula = 148 meV/atom
Space group = F-43m (216)

a b c (Å): 4.6210 4.6210 4.6210
angles (deg): 60.00 60.00 60.00
Last column: nearest neighbours and their distance in Å.
Element x y z (fractional)
Hg 0.2500 0.2500 0.2500  4 Re 2.83, 4 In 2.83
Re 0.5000 0.5000 0.5000  4 Cu 2.83, 4 Hg 2.83
In 0.0000 0.0000 0.0000  4 Hg 2.83, 4 Cu 2.83
Cu 0.7500 0.7500 0.7500  4 Re 2.83, 4 In 2.83

=====

5.
## InCuReHg (PBE)

Data for InCuReHg after structural relaxation.

Distance to the lowest polymorph of the same formula = 0 meV/atom
Space group = F-43m (216)

a b c (Å): 4.6285 4.6285 4.6285
angles (deg): 60.00 60.00 60.00
Last column: nearest neighbours and their distance in Å.
Element x y z (fractional)
In 0.0000 0.0000 0.0000  4 Re 2.83, 4 Cu 2.83
Hg 0.5000 0.5000 0.5000  4 Cu 2.83, 4 Re 2.83
Re 0.2500 0.2500 0.2500  4 In 2.83, 4 Hg 2.83
Cu 0.7500 0.7500 0.7500  4 Hg 2.83, 4 In 2.83

=====

6.
## TaInCuHg (PBE)

Data for TaInCuHg after structural relaxation.

Distance to the lowest polymorph of the same formula = 39 meV/atom
Space group = F-43m (216)

a b c (Å): 4.7192 4.7192 4.7192
angles (deg): 60.00 60.00 60.00
Last column: nearest neighbours and their distance in Å.
Element x y z (fractional)
In 0.0000 0.0000 0.0000  4 Hg 2.89, 4 Cu 2.89
Ta 0.5000 0.5000 0.5000  4 Hg 2.89, 4 Cu 2.89
Hg 0.2500 0.2500 0.2500  4 Ta 2.89, 4 In 2.89
Cu 0.7500 0.7500 0.7500  4 Ta 2.89, 4 In 2.89